No. 1
# LaBeIn2

A geometry-optimized LaBeIn2 structure (PBE, Alexandria via LeMat-Bulk).

Calculated values
Magnetic moment ... 0.0000 μB/atom
Space-group type ... No. 216
Energy of formation from the pure elements ... 0.0474 eV/atom

Geometry as CIF:
```
data_LaBeIn2
_symmetry_space_group_name_H-M 'P 1'
_symmetry_Int_Tables_number 1
_symmetry_space_group_name_Hall 'P 1'
_cell_length_a 5.125
_cell_length_b 5.125
_cell_length_c 5.125
_cell_angle_alpha 60.00
_cell_angle_beta 60.00
_cell_angle_gamma 60.00
loop_
_atom_site_label
_atom_site_type_symbol
_atom_site_fract_x
_atom_site_fract_y
_atom_site_fract_z
Be1 Be 0.500 0.500 0.500
In1 In 0.000 0.000 0.000
In2 In 0.250 0.250 0.250
La1 La 0.750 0.750 0.750
```


No. 2
# CuAsRhBr2

A geometry-optimized CuAsRhBr2 structure (PBE, Alexandria via LeMat-Bulk).

Calculated values
Magnetic moment ... 0.0000 μB/atom
Space-group type ... No. 123
Excess energy over the best structure of this formula in the dataset ... 0.0 meV/atom

Geometry as CIF:
```
data_CuAsRhBr2
_symmetry_space_group_name_H-M 'P 1'
_symmetry_Int_Tables_number 1
_symmetry_space_group_name_Hall 'P 1'
_cell_length_a 5.282
_cell_length_b 5.282
_cell_length_c 4.588
_cell_angle_alpha 90.00
_cell_angle_beta 90.00
_cell_angle_gamma 90.00
loop_
_atom_site_label
_atom_site_type_symbol
_atom_site_fract_x
_atom_site_fract_y
_atom_site_fract_z
As1 As 0.000 0.000 0.500
Rh1 Rh 0.000 0.000 0.000
Cu1 Cu 0.500 0.500 0.500
Br1 Br 0.000 0.500 0.000
Br2 Br 0.500 0.000 0.000
```


No. 3
# SmPa2IrN4

A geometry-optimized SmPa2IrN4 structure (PBE, Alexandria via LeMat-Bulk).

Calculated values
Total DFT energy (no corrections) ... -150.63 eV per cell
Magnetic moment ... 0.0000 μB/atom
Space-group type ... No. 63

Geometry as CIF:
```
data_SmPa2IrN4
_symmetry_space_group_name_H-M 'P 1'
_symmetry_Int_Tables_number 1
_symmetry_space_group_name_Hall 'P 1'
_cell_length_a 3.494
_cell_length_b 6.071
_cell_length_c 11.764
_cell_angle_alpha 90.00
_cell_angle_beta 90.00
_cell_angle_gamma 106.72
loop_
_atom_site_label
_atom_site_type_symbol
_atom_site_fract_x
_atom_site_fract_y
_atom_site_fract_z
Sm1 Sm 0.108 0.216 0.750
Sm2 Sm 0.892 0.784 0.250
Pa1 Pa 0.370 0.739 0.559
Pa2 Pa 0.630 0.261 0.059
Pa3 Pa 0.630 0.261 0.441
Pa4 Pa 0.370 0.739 0.941
Ir1 Ir 0.844 0.688 0.750
Ir2 Ir 0.156 0.312 0.250
N1 N 0.275 0.549 0.107
N2 N 0.725 0.451 0.607
N3 N 0.725 0.451 0.893
N4 N 0.275 0.549 0.393
N5 N 0.000 0.000 0.500
N6 N 0.000 0.000 0.000
N7 N 0.459 0.918 0.750
N8 N 0.541 0.082 0.250
```


No. 4
# Hf2Sn2N

A geometry-optimized Hf2Sn2N structure (PBE, Alexandria via LeMat-Bulk).

Calculated values
Magnetic moment ... 0.0978 μB/atom
Space-group type ... No. 139
Excess energy over the best structure of this formula in the dataset ... 1320.1 meV/atom

Geometry as CIF:
```
data_Hf2Sn2N
_symmetry_space_group_name_H-M 'P 1'
_symmetry_Int_Tables_number 1
_symmetry_space_group_name_Hall 'P 1'
_cell_length_a 3.801
_cell_length_b 3.801
_cell_length_c 7.914
_cell_angle_alpha 76.11
_cell_angle_beta 76.11
_cell_angle_gamma 90.00
loop_
_atom_site_label
_atom_site_type_symbol
_atom_site_fract_x
_atom_site_fract_y
_atom_site_fract_z
Hf1 Hf 0.407 0.407 0.186
Hf2 Hf 0.593 0.593 0.814
Sn1 Sn 0.750 0.250 0.500
Sn2 Sn 0.250 0.750 0.500
N1 N 0.000 0.000 0.000
```


No. 5
# RbCu3Sb3

A geometry-optimized RbCu3Sb3 structure (PBE, Alexandria via LeMat-Bulk).

Calculated values
Magnetic moment ... 0.0000 μB/atom
Space-group type ... No. 148
Excess energy over the best structure of this formula in the dataset ... 0.0 meV/atom

Geometry as CIF:
```
data_RbCu3Sb3
_symmetry_space_group_name_H-M 'P 1'
_symmetry_Int_Tables_number 1
_symmetry_space_group_name_Hall 'P 1'
_cell_length_a 6.428
_cell_length_b 6.428
_cell_length_c 10.655
_cell_angle_alpha 72.44
_cell_angle_beta 72.44
_cell_angle_gamma 60.00
loop_
_atom_site_label
_atom_site_type_symbol
_atom_site_fract_x
_atom_site_fract_y
_atom_site_fract_z
Rb1 Rb 0.315 0.315 0.055
Rb2 Rb 0.685 0.685 0.945
Cu1 Cu 0.593 0.785 0.558
Cu2 Cu 0.785 0.063 0.558
Cu3 Cu 0.063 0.593 0.558
Cu4 Cu 0.937 0.407 0.442
Cu5 Cu 0.215 0.937 0.442
Cu6 Cu 0.407 0.215 0.442
Sb1 Sb 0.248 0.650 0.291
Sb2 Sb 0.811 0.248 0.291
Sb3 Sb 0.650 0.811 0.291
Sb4 Sb 0.350 0.189 0.709
Sb5 Sb 0.189 0.752 0.709
Sb6 Sb 0.752 0.350 0.709
```


No. 6
# Tl4TeO5

A geometry-optimized Tl4TeO5 structure (PBE, Alexandria via LeMat-Bulk).

Calculated values
Total DFT energy (no corrections) ... -45.55 eV per cell
Magnetic moment ... 0.0000 μB/atom
Space-group type ... No. 79

Geometry as CIF:
```
data_Tl4TeO5
_symmetry_space_group_name_H-M 'P 1'
_symmetry_Int_Tables_number 1
_symmetry_space_group_name_Hall 'P 1'
_cell_length_a 5.126
_cell_length_b 6.739
_cell_length_c 6.739
_cell_angle_alpha 81.68
_cell_angle_beta 67.64
_cell_angle_gamma 67.64
loop_
_atom_site_label
_atom_site_type_symbol
_atom_site_fract_x
_atom_site_fract_y
_atom_site_fract_z
Tl1 Tl 0.433 0.400 0.784
Tl2 Tl 0.833 0.784 0.600
Tl3 Tl 0.217 0.216 0.400
Tl4 Tl 0.618 0.600 0.216
Te1 Te 0.051 0.000 0.000
O1 O 0.865 0.300 0.938
O2 O 0.165 0.938 0.700
O3 O 0.803 0.062 0.300
O4 O 0.103 0.700 0.062
O5 O 0.421 0.000 0.000
```


No. 7
# FeRh2Br

A geometry-optimized FeRh2Br structure (PBE, Alexandria via LeMat-Bulk).

Calculated values
Magnetic moment ... 1.1304 μB/atom
Space-group type ... No. 47
Excess energy over the best structure of this formula in the dataset ... 240.9 meV/atom

Geometry as CIF:
```
data_FeRh2Br
_symmetry_space_group_name_H-M 'P 1'
_symmetry_Int_Tables_number 1
_symmetry_space_group_name_Hall 'P 1'
_cell_length_a 2.976
_cell_length_b 4.782
_cell_length_c 4.375
_cell_angle_alpha 90.00
_cell_angle_beta 90.00
_cell_angle_gamma 90.00
loop_
_atom_site_label
_atom_site_type_symbol
_atom_site_fract_x
_atom_site_fract_y
_atom_site_fract_z
Br1 Br 0.500 0.000 0.500
Fe1 Fe 0.000 0.500 0.500
Rh1 Rh 0.000 0.000 0.000
Rh2 Rh 0.500 0.500 0.000
```


No. 8
# FeCuRu2N

A geometry-optimized FeCuRu2N structure (PBE, Alexandria via LeMat-Bulk).

Calculated values
Total DFT energy (no corrections) ... -38.39 eV per cell
Magnetic moment ... 0.6292 μB/atom
Space-group type ... No. 123

Geometry as CIF:
```
data_FeCuRu2N
_symmetry_space_group_name_H-M 'P 1'
_symmetry_Int_Tables_number 1
_symmetry_space_group_name_Hall 'P 1'
_cell_length_a 3.997
_cell_length_b 3.997
_cell_length_c 3.786
_cell_angle_alpha 90.00
_cell_angle_beta 90.00
_cell_angle_gamma 90.00
loop_
_atom_site_label
_atom_site_type_symbol
_atom_site_fract_x
_atom_site_fract_y
_atom_site_fract_z
Ru1 Ru 0.000 0.500 0.000
Ru2 Ru 0.500 0.000 0.000
Fe1 Fe 0.000 0.000 0.500
Cu1 Cu 0.500 0.500 0.500
N1 N 0.000 0.000 0.000
```


No. 9
# Tl3Zn

A geometry-optimized Tl3Zn structure (PBE, Alexandria via LeMat-Bulk).

Calculated values
Magnetic moment ... 0.0000 μB/atom
Space-group type ... No. 65
Energy of formation from the pure elements ... 0.1403 eV/atom

Geometry as CIF:
```
data_Tl3Zn
_symmetry_space_group_name_H-M 'P 1'
_symmetry_Int_Tables_number 1
_symmetry_space_group_name_Hall 'P 1'
_cell_length_a 5.786
_cell_length_b 5.786
_cell_length_c 3.453
_cell_angle_alpha 90.00
_cell_angle_beta 90.00
_cell_angle_gamma 107.60
loop_
_atom_site_label
_atom_site_type_symbol
_atom_site_fract_x
_atom_site_fract_y
_atom_site_fract_z
Tl1 Tl 0.000 0.500 0.500
Tl2 Tl 0.500 0.000 0.500
Tl3 Tl 0.500 0.500 0.000
Zn1 Zn 0.000 0.000 0.000
```


No. 10
# B5C7

A geometry-optimized B5C7 structure (PBE, Alexandria via LeMat-Bulk).

Calculated values
Magnetic moment ... 0.0000 μB/atom
Space-group type ... No. 8
Excess energy over the best structure of this formula in the dataset ... 98.2 meV/atom
Energy of formation from the pure elements ... 0.3562 eV/atom

Geometry as CIF:
```
data_B5C7
_symmetry_space_group_name_H-M 'P 1'
_symmetry_Int_Tables_number 1
_symmetry_space_group_name_Hall 'P 1'
_cell_length_a 4.487
_cell_length_b 4.487
_cell_length_c 8.247
_cell_angle_alpha 119.45
_cell_angle_beta 119.45
_cell_angle_gamma 32.78
loop_
_atom_site_label
_atom_site_type_symbol
_atom_site_fract_x
_atom_site_fract_y
_atom_site_fract_z
B1 B 0.640 0.640 0.337
B2 B 0.312 0.312 0.184
B3 B 0.047 0.047 0.987
B4 B 0.852 0.852 0.047
B5 B 0.341 0.341 0.672
C1 C 0.482 0.482 0.395
C2 C 0.112 0.112 0.199
C3 C 0.685 0.685 0.819
C4 C 0.531 0.531 0.864
C5 C 0.175 0.175 0.708
C6 C 0.994 0.994 0.507
C7 C 0.830 0.830 0.531
```


No. 11
# NdPuZr2

A geometry-optimized NdPuZr2 structure (PBE, Alexandria via LeMat-Bulk).

Calculated values
Magnetic moment ... 1.3656 μB/atom
Space-group type ... No. 123
Excess energy over the best structure of this formula in the dataset ... 0.0 meV/atom
Energy of formation from the pure elements ... 0.2054 eV/atom

Geometry as CIF:
```
data_NdPuZr2
_symmetry_space_group_name_H-M 'P 1'
_symmetry_Int_Tables_number 1
_symmetry_space_group_name_Hall 'P 1'
_cell_length_a 3.823
_cell_length_b 3.823
_cell_length_c 7.221
_cell_angle_alpha 90.00
_cell_angle_beta 90.00
_cell_angle_gamma 90.00
loop_
_atom_site_label
_atom_site_type_symbol
_atom_site_fract_x
_atom_site_fract_y
_atom_site_fract_z
Nd1 Nd 0.500 0.500 0.500
Zr1 Zr 0.000 0.000 0.790
Zr2 Zr 0.000 0.000 0.210
Pu1 Pu 0.500 0.500 0.000
```


No. 12
# Pr2NdMg

A geometry-optimized Pr2NdMg structure (PBE, Alexandria via LeMat-Bulk).

Calculated values
Magnetic moment ... 0.0017 μB/atom
Space-group type ... No. 123
Excess energy over the best structure of this formula in the dataset ... 36.7 meV/atom
Energy of formation from the pure elements ... -0.0065 eV/atom

Geometry as CIF:
```
data_Pr2NdMg
_symmetry_space_group_name_H-M 'P 1'
_symmetry_Int_Tables_number 1
_symmetry_space_group_name_Hall 'P 1'
_cell_length_a 5.047
_cell_length_b 5.076
_cell_length_c 5.076
_cell_angle_alpha 90.00
_cell_angle_beta 90.00
_cell_angle_gamma 90.00
loop_
_atom_site_label
_atom_site_type_symbol
_atom_site_fract_x
_atom_site_fract_y
_atom_site_fract_z
Pr1 Pr 0.000 0.000 0.500
Pr2 Pr 0.000 0.500 0.000
Mg1 Mg 0.500 0.000 0.000
Nd1 Nd 0.500 0.500 0.500
```